(1)
A geometry-optimized Tm2Cd2Ag5 structure, computed with PBE-GGA.

Cell lengths 7.2428, 6.1081, 10.1309 Å; angles 107.55, 110.94, 90.00 degrees
Closest atoms and distances in Å follow each position.
Fractional coordinates of all 18 atoms:
1 Tm 0.0000 0.0377 0.0000  4 Ag 3.27, 6 Cd 3.34-3.50
2 Tm 0.5000 0.5377 0.0000  4 Ag 3.27, 6 Cd 3.34-3.50
3 Tm 0.1948 0.2867 0.5000  11 Ag 2.99-3.06
4 Tm 0.8052 0.7867 0.5000  11 Ag 2.99-3.06
5 Cd 0.1241 0.6103 0.1447  1 Cd 2.70, 4 Ag 2.73-2.83
6 Cd 0.8759 0.4656 0.8553  1 Cd 2.70, 4 Ag 2.73-2.83
7 Cd 0.5206 0.1103 0.1447  1 Cd 2.70, 4 Ag 2.73-2.83
8 Cd 0.4794 0.9656 0.8553  1 Cd 2.70, 4 Ag 2.73-2.83
9 Ag 0.1247 0.6614 0.7484  2 Cd 2.83, 2 Tm 3.04-3.05, 4 Ag 3.05-3.13
10 Ag 0.8753 0.9129 0.2516  2 Cd 2.83, 2 Tm 3.04-3.05, 4 Ag 3.05-3.13
11 Ag 0.1237 0.1614 0.7484  2 Cd 2.83, 2 Tm 3.04-3.05, 4 Ag 3.05-3.13
12 Ag 0.8763 0.4129 0.2516  2 Cd 2.83, 2 Tm 3.04-3.05, 4 Ag 3.05-3.13
13 Ag 0.4205 0.9569 0.3397  2 Cd 2.73, 5 Ag 2.87-3.05, 2 Tm 3.04-3.05
14 Ag 0.5795 0.6172 0.6603  2 Cd 2.73, 5 Ag 2.87-3.05, 2 Tm 3.04-3.05
15 Ag 0.4192 0.4569 0.3397  2 Cd 2.73, 5 Ag 2.87-3.05, 2 Tm 3.04-3.05
16 Ag 0.5808 0.1172 0.6603  2 Cd 2.73, 5 Ag 2.87-3.05, 2 Tm 3.04-3.05
17 Ag 0.2185 0.7873 0.5000  8 Ag 2.92-3.13, 3 Tm 2.99-3.06, 2 Cd 3.24
18 Ag 0.7815 0.2873 0.5000  8 Ag 2.92-3.13, 3 Tm 2.99-3.06, 2 Cd 3.24

Calculated values
DFT formation energy (eV per formula unit): -0.6
SG: Ima2

---

(2)
A geometry-optimized Tm3Cd2Ag8 structure, computed with PBE-GGA.

Cell lengths 5.5036, 5.5036, 11.2951 Å; angles 75.90, 75.90, 60.00 degrees
Closest atoms and distances in Å follow each position.
Fractional coordinates of all 13 atoms:
1 Tm 0.0000 0.0000 0.0000  6 Cd 3.32, 12 Ag 3.64-3.70
2 Tm 0.8124 0.8124 0.5627  10 Ag 2.97-3.18
3 Tm 0.1876 0.1876 0.4373  10 Ag 2.97-3.18
4 Cd 0.6374 0.6374 0.0879  4 Ag 2.73-2.87
5 Cd 0.3626 0.3626 0.9121  4 Ag 2.73-2.87
6 Ag 0.7212 0.7212 0.8364  1 Cd 2.73, 1 Tm 2.97
7 Ag 0.2788 0.2788 0.1636  1 Cd 2.73, 1 Tm 2.97
8 Ag 0.2283 0.7317 0.3083  4 Ag 2.73-2.77, 1 Cd 2.87
9 Ag 0.7317 0.2283 0.3083  4 Ag 2.73-2.77, 1 Cd 2.87
10 Ag 0.7317 0.7317 0.3083  4 Ag 2.73-2.77, 1 Cd 2.87
11 Ag 0.2683 0.7717 0.6917  4 Ag 2.73-2.77, 1 Cd 2.87
12 Ag 0.7717 0.2683 0.6917  4 Ag 2.73-2.77, 1 Cd 2.87
13 Ag 0.2683 0.2683 0.6917  4 Ag 2.73-2.77, 1 Cd 2.87

Calculated values
DFT formation energy (eV per formula unit): -0.9
SG: R-3m

---

(3)
A geometry-optimized TmCdAg3 structure, computed with PBE-GGA.

Cell lengths 4.9903, 6.1923, 7.1862 Å; angles 90.00, 69.37, 90.00 degrees
Closest atoms and distances in Å follow each position.
Fractional coordinates of all 10 atoms:
1 Tm 0.6075 0.7500 0.2850  8 Ag 2.94-3.21, 3 Cd 3.12-3.28
2 Tm 0.3925 0.2500 0.7150  8 Ag 2.94-3.21, 3 Cd 3.12-3.28
3 Cd 0.3623 0.7500 0.7720  8 Ag 2.86-3.04, 2 Tm 3.12
4 Cd 0.6377 0.2500 0.2280  8 Ag 2.86-3.04, 2 Tm 3.12
5 Ag 0.1850 0.9965 0.1309  6 Ag 2.84-3.14, 3 Cd 2.86-3.03, 2 Tm 3.10-3.11
6 Ag 0.8150 0.0035 0.8691  6 Ag 2.84-3.14, 3 Cd 2.86-3.03, 2 Tm 3.10-3.11
7 Ag 0.1850 0.5035 0.1309  6 Ag 2.84-3.14, 3 Cd 2.86-3.03, 2 Tm 3.10-3.11
8 Ag 0.8150 0.4965 0.8691  6 Ag 2.84-3.14, 3 Cd 2.86-3.03, 2 Tm 3.10-3.11
9 Ag 0.9901 0.7500 0.5165  6 Ag 2.84-3.10, 2 Tm 2.94, 2 Cd 3.02-3.04
10 Ag 0.0099 0.2500 0.4835  6 Ag 2.84-3.10, 2 Tm 2.94, 2 Cd 3.02-3.04

Calculated values
DFT formation energy (eV per formula unit): -0.7
Energy above the most stable polymorph in this dataset (meV per atom): 62
SG: P2_1/m

---

(4)
A geometry-optimized TmCd2Ag5 structure, computed with PBE-GGA.

Cell lengths 7.5725, 7.5725, 7.7975 Å; angles 119.05, 119.05, 90.00 degrees
Closest atoms and distances in Å follow each position.
Fractional coordinates of all 16 atoms:
1 Tm 0.7500 0.7500 0.5000  10 Ag 2.83-3.06
2 Tm 0.2500 0.2500 0.5000  10 Ag 2.83-3.06
3 Cd 0.1548 0.3452 0.0000  8 Ag 2.86-2.95
4 Cd 0.6548 0.1548 0.0000  8 Ag 2.86-2.95
5 Cd 0.3452 0.8452 0.0000  8 Ag 2.86-2.95
6 Cd 0.8452 0.6548 0.0000  8 Ag 2.86-2.95
7 Ag 0.4779 0.6887 0.6666  3 Cd 2.86-2.95, 4 Ag 2.89-3.10, 2 Tm 3.06
8 Ag 0.8113 0.0221 0.3334  3 Cd 2.86-2.95, 4 Ag 2.89-3.10, 2 Tm 3.06
9 Ag 0.0000 0.0000 0.0000  2 Tm 2.83, 4 Cd 2.86
10 Ag 0.5000 0.5000 0.0000  2 Tm 2.83, 4 Cd 2.86
11 Ag 0.1887 0.9779 0.6666  3 Cd 2.86-2.95, 4 Ag 2.89-3.10, 2 Tm 3.06
12 Ag 0.6887 0.1887 0.6666  3 Cd 2.86-2.95, 4 Ag 2.89-3.10, 2 Tm 3.06
13 Ag 0.9779 0.4779 0.6666  3 Cd 2.86-2.95, 4 Ag 2.89-3.10, 2 Tm 3.06
14 Ag 0.3113 0.8113 0.3334  3 Cd 2.86-2.95, 4 Ag 2.89-3.10, 2 Tm 3.06
15 Ag 0.0221 0.5221 0.3334  3 Cd 2.86-2.95, 4 Ag 2.89-3.10, 2 Tm 3.06
16 Ag 0.5221 0.3113 0.3334  3 Cd 2.86-2.95, 4 Ag 2.89-3.10, 2 Tm 3.06

Calculated values
DFT formation energy (eV per formula unit): -0.2
Energy above the most stable polymorph in this dataset (meV per atom): 88
SG: I4/mcm

---

(5)
A geometry-optimized TmCd5Ag6 structure, computed with PBE-GGA.

Cell lengths 8.5644, 4.7689, 7.4865 Å; angles 70.63, 79.20, 56.09 degrees
Closest atoms and distances in Å follow each position.
Fractional coordinates of all 12 atoms:
1 Tm 0.0000 0.0000 0.0000  8 Ag 2.99-3.01, 4 Cd 3.34-3.35
2 Cd 0.4995 0.1712 0.6739  8 Ag 2.89-2.96
3 Cd 0.0002 0.3262 0.3320  8 Ag 2.94-3.00, 1 Cd 3.29
4 Cd 0.5000 0.5000 0.0000  8 Ag 2.95-2.97
5 Cd 0.9998 0.6738 0.6680  8 Ag 2.94-3.00, 1 Cd 3.29
6 Cd 0.5005 0.8288 0.3261  8 Ag 2.89-2.96
7 Ag 0.7443 0.0776 0.3399  7 Cd 2.93-3.00, 1 Tm 3.01, 1 Ag 3.21
8 Ag 0.2551 0.5664 0.3395  7 Cd 2.94-3.00, 1 Tm 3.01, 1 Ag 3.21
9 Ag 0.2537 0.2454 0.0002  6 Cd 2.89-2.96, 2 Tm 2.99
10 Ag 0.7462 0.7546 0.9998  6 Cd 2.89-2.96, 2 Tm 2.99
11 Ag 0.7449 0.4336 0.6605  7 Cd 2.94-3.00, 1 Tm 3.01, 1 Ag 3.21
12 Ag 0.2557 0.9224 0.6601  7 Cd 2.93-3.00, 1 Tm 3.01, 1 Ag 3.21

Calculated values
DFT formation energy (eV per formula unit): -1.2
Energy above the most stable polymorph in this dataset (meV per atom): 0
SG: P-1

---

(6)
A geometry-optimized TmCd6Ag6 structure, computed with PBE-GGA.

Cell lengths 5.5977, 7.4828, 7.4828 Å; angles 81.03, 68.04, 68.04 degrees
Closest atoms and distances in Å follow each position.
Fractional coordinates of all 13 atoms:
1 Tm 0.0000 0.0000 0.0000  8 Cd 3.34-3.41, 12 Ag 3.55-3.74
2 Cd 0.3440 0.6560 0.6560  6 Ag 2.96-3.09, 3 Cd 3.09-3.19
3 Cd 0.6560 0.3440 0.3440  6 Ag 2.96-3.09, 3 Cd 3.09-3.19
4 Cd 0.0000 0.3437 0.6563  6 Ag 2.99-3.03, 1 Cd 3.04, 1 Tm 3.34
5 Cd 0.0000 0.6563 0.3437  6 Ag 2.99-3.03, 1 Cd 3.04, 1 Tm 3.34
6 Cd 0.3109 0.1891 0.1891  6 Ag 2.87-2.88, 2 Cd 3.19
7 Cd 0.6891 0.8109 0.8109  6 Ag 2.87-2.88, 2 Cd 3.19
8 Ag 0.0000 0.5000 0.0000  4 Ag 2.80-2.86, 6 Cd 2.87-2.99
9 Ag 0.5000 0.5000 0.0000  4 Ag 2.80-2.86, 6 Cd 2.87-2.99
10 Ag 0.0000 0.0000 0.5000  4 Ag 2.80-2.86, 6 Cd 2.87-2.99
11 Ag 0.5000 0.0000 0.5000  4 Ag 2.80-2.86, 6 Cd 2.87-2.99
12 Ag 0.5000 0.7754 0.2246  4 Ag 2.86, 6 Cd 2.88-3.09
13 Ag 0.5000 0.2246 0.7754  4 Ag 2.86, 6 Cd 2.88-3.09

Calculated values
DFT formation energy (eV per formula unit): -1.1
Energy above the most stable polymorph in this dataset (meV per atom): 6
SG: Immm

---

Number 1: total DFT energy (no corrections) -2.85 eV/atom. Number 2: total DFT energy (no corrections) -3.00 eV/atom. Number 3: total DFT energy (no corrections) -2.93 eV/atom. Number 4: total DFT energy (no corrections) -2.60 eV/atom. Number 5: total DFT energy (no corrections) -2.28 eV/atom. Number 6: total DFT energy (no corrections) -2.17 eV/atom.